# Pa4Mo6O19

A geometry-optimized Pa4Mo6O19 structure (PBE with a Hubbard U, Alexandria via LeMat-Bulk).

Results
Space-group type ... I23, No. 197
VASP energy ... -242.54 eV/cell
Total magnetization ... 6.07 μB/cell

a b c (Å): 7.882 7.882 7.882
angles (deg): 109.47 109.47 109.47
Site moments in Bohr magnetons follow the coordinates.
Fractional positions:
O1 0.342 0.607 0.387  0.01
O2 0.780 0.393 0.735  0.01
O3 0.000 0.300 0.300  0.00
O4 0.393 0.735 0.780  0.01
O5 0.658 0.045 0.265  0.01
O6 0.700 0.000 0.700  0.00
O7 0.300 0.000 0.300  0.00
O8 0.607 0.387 0.342  0.01
O9 0.000 0.000 0.000  0.00
O10 0.387 0.342 0.607  0.01
O11 0.700 0.700 0.000  0.00
O12 0.613 0.220 0.955  0.01
O13 0.735 0.780 0.393  0.01
O14 0.265 0.658 0.045  0.01
O15 0.045 0.265 0.658  0.01
O16 0.000 0.700 0.700  0.00
O17 0.955 0.613 0.220  0.01
O18 0.220 0.955 0.613  0.01
O19 0.300 0.300 0.000  0.00
Pa1 0.000 0.698 0.000  0.04
Pa2 0.302 0.302 0.302  0.04
Pa3 0.698 0.000 0.000  0.04
Pa4 0.000 0.000 0.698  0.04
Mo1 0.865 0.365 0.500  0.92
Mo2 0.500 0.135 0.635  0.92
Mo3 0.135 0.635 0.500  0.92
Mo4 0.635 0.500 0.135  0.92
Mo5 0.365 0.500 0.865  0.92
Mo6 0.500 0.865 0.365  0.92